# SrMnI2 (PBE, optimized geometry)
# **ΔE_f (raw)**: -0.3740 eV per atom
# **Crystal system**: cubic
data_SrMnI2
_cell_length_a 8.077
_cell_length_b 8.077
_cell_length_c 8.077
_cell_angle_alpha 90.00
_cell_angle_beta 90.00
_cell_angle_gamma 90.00
_symmetry_space_group_name_H-M 'F m -3 m'
_symmetry_Int_Tables_number 225
_symmetry_space_group_name_Hall '-F 4 2 3'
loop_
_atom_site_label
_atom_site_fract_x
_atom_site_fract_y
_atom_site_fract_z
Sr1 0.000 0.000 0.000
Mn1 0.000 0.000 0.500
I1 0.250 0.250 0.250

***

# SrMn3I9 (PBE, optimized geometry)
# **ΔE_f (raw)**: -0.6374 eV per atom
# **Crystal system**: monoclinic
data_SrMn3I9
_cell_length_a 21.045
_cell_length_b 10.453
_cell_length_c 14.931
_cell_angle_alpha 90.00
_cell_angle_beta 130.24
_cell_angle_gamma 90.00
_symmetry_space_group_name_H-M 'C 1 c 1'
_symmetry_Int_Tables_number 9
loop_
_symmetry_equiv_pos_as_xyz
'x,y,z'
'x,-y,z+1/2'
'x+1/2,y+1/2,z'
'x+1/2,-y+1/2,z+1/2'
loop_
_atom_site_label
_atom_site_fract_x
_atom_site_fract_y
_atom_site_fract_z
Sr1 0.000 0.224 0.000
Mn1 0.155 0.125 0.840
Mn2 0.240 0.414 0.716
Mn3 0.357 0.080 0.672
I1 0.021 0.091 0.815
I2 0.133 0.361 0.755
I3 0.162 0.071 0.237
I4 0.171 0.379 0.085
I5 0.224 0.235 0.571
I6 0.313 0.138 0.044
I7 0.393 0.449 0.915
I8 0.410 0.001 0.879
I9 0.478 0.197 0.693

***

# SrMnI2 (PBE, optimized geometry)
# **ΔE_f (raw)**: -0.3025 eV per atom
# **Crystal system**: trigonal
data_SrMnI2
_cell_length_a 4.2277
_cell_length_b 4.2277
_cell_length_c 30.4603
_cell_angle_alpha 90.00
_cell_angle_beta 90.00
_cell_angle_gamma 120.00
_symmetry_space_group_name_H-M 'R -3 m'
_symmetry_Int_Tables_number 166
_symmetry_space_group_name_Hall '-R 3 2"'
loop_
_atom_site_label
_atom_site_fract_x
_atom_site_fract_y
_atom_site_fract_z
Sr1 0.0000 0.0000 0.0000
Mn1 0.0000 0.0000 0.5000
I1 0.0000 0.0000 0.1135

***

# SrMnTe2I (PBE, optimized geometry)
# **ΔE_f (raw)**: -0.6168 eV per atom
# **Crystal system**: tetragonal
data_SrMnTe2I
_cell_length_a 5.399
_cell_length_b 5.399
_cell_length_c 5.701
_cell_angle_alpha 90.00
_cell_angle_beta 90.00
_cell_angle_gamma 90.00
_symmetry_space_group_name_H-M 'P 4/m m m'
_symmetry_Int_Tables_number 123
_symmetry_space_group_name_Hall '-P 4 2'
loop_
_atom_site_label
_atom_site_fract_x
_atom_site_fract_y
_atom_site_fract_z
Sr1 0.000 0.000 0.000
Mn1 0.500 0.500 0.500
Te1 0.000 0.500 0.500
I1 0.500 0.500 0.000